{"formula": "SrZrCr", "functional": "PBE", "state": "relaxed", "crystal_system": "cubic", "relative_energy_mev_per_atom": 499, "dft_energy_ev_per_atom": -5.55, "formation_enthalpy_0k_ev_per_atom": 1.072, "rho_g_cm3": 4.38, "lattice_angstrom": [[0.000, 3.523, 3.523], [3.523, 0.000, 3.523], [3.523, 3.523, 0.000]], "species": ["Sr", "Zr", "Cr"], "frac_coords": [[0.000, 0.000, 0.000], [0.500, 0.500, 0.500], [0.250, 0.250, 0.250]]}

---

{"formula": "PrGa3CuNi", "functional": "PBE", "state": "relaxed", "crystal_system": "orthorhombic", "dft_energy_ev_per_atom": -4.25, "formation_enthalpy_0k_ev_per_atom": -0.290, "rho_g_cm3": 7.17, "lattice_angstrom": [[3.040, -5.924, 0.000], [3.040, 5.924, 0.000], [0.000, 0.000, 6.076]], "species": ["Pr", "Pr", "Ga", "Ga", "Ga", "Ga", "Ga", "Ga", "Cu", "Cu", "Ni", "Ni"], "frac_coords": [[0.229, 0.771, 0.750], [0.771, 0.229, 0.250], [0.212, 0.212, 0.000], [0.212, 0.212, 0.500], [0.345, 0.655, 0.250], [0.655, 0.345, 0.750], [0.788, 0.788, 0.000], [0.788, 0.788, 0.500], [0.138, 0.862, 0.250], [0.862, 0.138, 0.750], [0.453, 0.547, 0.750], [0.547, 0.453, 0.250]]}

---

{"formula": "RbCa2Te2O6", "functional": "PBE", "state": "relaxed", "crystal_system": "triclinic", "dft_energy_ev_per_atom": -5.44, "raw_formation_energy_ev_per_atom": -1.709, "rho_g_cm3": 3.65, "lattice_angstrom": [[6.400, 0.000, 0.000], [-1.071, 6.316, 0.000], [-2.019, -2.600, 5.810]], "species": ["Rb", "Ca", "Ca", "Te", "Te", "O", "O", "O", "O", "O", "O"], "frac_coords": [[0.000, 0.000, 0.000], [0.258, 0.911, 0.564], [0.742, 0.089, 0.436], [0.258, 0.536, 0.964], [0.742, 0.464, 0.036], [0.119, 0.216, 0.706], [0.232, 0.698, 0.775], [0.373, 0.829, 0.256], [0.627, 0.171, 0.744], [0.768, 0.302, 0.225], [0.881, 0.784, 0.294]]}